[1]
Entry from Alexandria via LeMat-Bulk: AcTbPdPb after structural relaxation (PBE).

Values from the calculation:
Energy relative to the elements in kJ/mol of formula units: -207

Unit cell a=7.727 b=7.727 c=7.727 alpha=90.00 beta=90.00 gamma=90.00
Space group F-43m (No. 216)
One atom of each set of equivalent atoms:
Ac (0.000, 0.000, 0.000) (multiplicity 4)
Tb (0.000, 0.000, 0.500) (multiplicity 4)
Pd (0.250, 0.250, 0.250) (multiplicity 4)
Pb (0.250, 0.250, 0.750) (multiplicity 4)

[2]
Entry from Alexandria via LeMat-Bulk: AcTlPdPb after structural relaxation (PBE).

Values from the calculation:
Energy relative to the elements in kJ/mol of formula units: -149

Unit cell a=7.606 b=7.606 c=7.606 alpha=90.00 beta=90.00 gamma=90.00
Space group F-43m (No. 216)
One atom of each set of equivalent atoms:
Ac (0.000, 0.000, 0.000) (multiplicity 4)
Tl (0.250, 0.250, 0.750) (multiplicity 4)
Pd (0.250, 0.250, 0.250) (multiplicity 4)
Pb (0.000, 0.000, 0.500) (multiplicity 4)

> Which value of energy relative to the elements does entry 1 give?

-207 kJ/mol of formula units

> Which formula does entry 2 have?

AcTlPdPb

> The lowest energy relative to the elements belongs to which entry?

AcTbPdPb